# SrVCr2

A relaxed SrVCr2 crystal (GGA-PBE, Alexandria via LeMat-Bulk).

It has space group Fm-3m (No. 225), with a = 6.843 Å, b = 6.843 Å, c = 6.843 Å, α = 90.00°, β = 90.00° and γ = 90.00°. The distinct sites, in fractional coordinates, are Sr at (0.000, 0.000, 0.000), V at (0.000, 0.000, 0.500) and Cr at (0.250, 0.250, 0.250).

As for the spin magnetization: 17.71 Bohr magnetons per cell. Its electronic total energy is -6.548 eV/atom.